[1]
Below is an optimized crystal structure of K8O6F, with properties calculated at the PBE level.

The value obtained for the uncorrected formation energy is -1.038 eV/atom. The crystal system is trigonal.

a = 8.5423 Å, b = 8.5423 Å, c = 15.1466 Å
α = 90.00°, β = 90.00°, γ = 120.00°
Space group R-3 (No. 148, hexagonal axes)
Asymmetric unit:
K: 0.0000 0.0000 0.1720 x6
K: 0.0386 0.7521 0.5909 x18
O: 0.0016 0.5866 0.4342 x18
F: 0.0000 0.0000 0.5000 x3

=====

[2]
Below is an optimized crystal structure of Tb2ScGa3Pt4, with properties calculated at the PBE level.

As for the formation energy from the elements: -1014.3 meV/atom. The crystal system is tetragonal.

a = 4.102 Å, b = 4.102 Å, c = 11.463 Å
α = 90.00°, β = 90.00°, γ = 90.00°
Space group P-4m2 (No. 115)
Asymmetric unit:
Tb: 0.000 0.500 0.235 x2
Sc: 0.000 0.000 0.500 x1
Ga: 0.000 0.500 0.869 x2
Ga: 0.500 0.500 0.500 x1
Pt: 0.000 0.000 0.000 x1
Pt: 0.000 0.500 0.652 x2
Pt: 0.500 0.500 0.000 x1

=====

[3]
Below is an optimized crystal structure of RbYTm4Se8, with properties calculated at the PBE level.

The value obtained for the uncorrected formation energy is -1.698 eV/atom. The crystal system is trigonal.

a = 8.5324 Å, b = 8.5324 Å, c = 21.1438 Å
α = 90.00°, β = 90.00°, γ = 120.00°
Space group R3m (No. 160, hexagonal axes)
Asymmetric unit:
Rb: 0.0000 0.0000 0.0000 x3
Y: 0.0000 0.0000 0.3667 x3
Tm: 0.0000 0.0000 0.7467 x3
Tm: 0.0125 0.5062 0.8739 x9
Se: 0.0000 0.0000 0.1413 x3
Se: 0.0000 0.0000 0.6149 x3
Se: 0.0180 0.5090 0.1251 x9
Se: 0.1892 0.3784 0.9479 x9

=====

[4]
Below is an optimized crystal structure of LiDySi2O6, with properties calculated at the PBE level.

The value obtained for the uncorrected formation energy is -2.928 eV/atom. The crystal system is monoclinic.

a = 10.159 Å, b = 9.556 Å, c = 5.524 Å
α = 90.00°, β = 111.23°, γ = 90.00°
Space group C2/c (No. 15)
Asymmetric unit:
Li: 0.000 0.240 0.250 x4
Dy: 0.000 0.117 0.750 x4
Si: 0.200 0.418 0.702 x8
O: 0.123 0.268 0.625 x8
O: 0.125 0.084 0.176 x8
O: 0.152 0.487 0.934 x8

=====

[5]
Below is an optimized crystal structure of ReNiW2, with properties calculated at the PBE level.

As for the formation energy from the elements: 240.2 meV/atom. The excess energy over the best structure of this formula in the dataset comes out at 0.74 eV/f.u. The crystal system is cubic.

a = 6.185 Å, b = 6.185 Å, c = 6.185 Å
α = 90.00°, β = 90.00°, γ = 90.00°
Space group F-43m (No. 216)
Asymmetric unit:
Re: 0.000 0.000 0.000 x4
Ni: 0.250 0.250 0.250 x4
W: 0.000 0.000 0.500 x4
W: 0.250 0.250 0.750 x4

=====

[6]
Below is an optimized crystal structure of OsPb3Br, with properties calculated at the PBE level.

The excess energy over the best structure of this formula in the dataset comes out at 7.04 eV/f.u. The value obtained for the uncorrected formation energy is 1.562 eV/atom. The crystal system is cubic.

a = 5.582 Å, b = 5.582 Å, c = 5.582 Å
α = 90.00°, β = 90.00°, γ = 90.00°
Space group Pm-3m (No. 221)
Asymmetric unit:
Os: 0.000 0.000 0.000 x1
Pb: 0.000 0.500 0.500 x3
Br: 0.500 0.500 0.500 x1

=====

[7]
Below is an optimized crystal structure of RbCrCl3, with properties calculated at the PBE level.

The value obtained for the uncorrected formation energy is -1.335 eV/atom. The crystal system is monoclinic.

a = 6.056 Å, b = 6.778 Å, c = 7.101 Å
α = 90.00°, β = 92.81°, γ = 90.00°
Space group P2_1/m (No. 11)
Asymmetric unit:
Rb: 0.216 0.250 0.411 x2
Cr: 0.464 0.750 0.051 x2
Cl: 0.265 0.001 0.878 x4
Cl: 0.279 0.750 0.366 x2

=====

[8]
Below is an optimized crystal structure of Tl3CdGe, with properties calculated at the PBE level.

As for the formation energy from the elements: 319.5 meV/atom. The excess energy over the best structure of this formula in the dataset comes out at 0.00 eV/f.u. The crystal system is cubic.

a = 5.644 Å, b = 5.644 Å, c = 5.644 Å
α = 90.00°, β = 90.00°, γ = 90.00°
Space group Pm-3m (No. 221)
Asymmetric unit:
Tl: 0.000 0.000 0.500 x3
Cd: 0.500 0.500 0.500 x1
Ge: 0.000 0.000 0.000 x1

=====

Result set for total moment: 5.0; 0.0; 0.0; 0.0; 0.0; 2.8; 4.0; 0.0 μB per formula unit, one per record in the order listed.